# Rb4TeS PBE-GGA relaxed
data_Rb4TeS
_chemical_formula_sum 'Rb8 Te2 S2'
_space_group_name_H-M_alt 'C 1 2/m 1'
_space_group_IT_number 12
_space_group_name_Hall '-C 2y'
_cell_length_a 10.050
_cell_length_b 5.811
_cell_length_c 10.087
_cell_angle_alpha 90.00
_cell_angle_beta 109.42
_cell_angle_gamma 90.00
loop_
_atom_site_label
_atom_site_fract_x
_atom_site_fract_y
_atom_site_fract_z
_atom_site_occupancy
Rb1 0.117 0.000 0.352 1
Rb2 0.131 0.500 0.894 1
Te1 0.000 0.500 0.500 1
S1 0.000 0.000 0.000 1
# formation energy from raw total energies	-95.3	kJ per mole of atoms
# calculated density	2.998	g/cm3
# density of states at the Fermi level	0.00	states/eV per atom